## AlZnCr2 (PBEsol)

Data for a geometry-optimized AlZnCr2 structure.

Structure (CIF):
```
data_AlZnCr2
_space_group_name_H-M_alt 'F -4 3 m'
_space_group_IT_number 216
_space_group_name_Hall 'F -4 2 3'
_cell_length_a 5.8696
_cell_length_b 5.8696
_cell_length_c 5.8696
_cell_angle_alpha 90.00
_cell_angle_beta 90.00
_cell_angle_gamma 90.00
loop_
_atom_site_label
_atom_site_fract_x
_atom_site_fract_y
_atom_site_fract_z
_atom_site_occupancy
Al1 0.0000 0.0000 0.0000 1
Zn1 0.2500 0.2500 0.2500 1
Cr1 0.0000 0.0000 0.5000 1
Cr2 0.2500 0.2500 0.7500 1
```

Results
The value obtained for the total energy is -6.438 eV/atom. As for the formation energy from the elements: 0.10 eV/atom. The theoretical density comes out at 6450 kg/m3.

***

## AlZn2Cr (PBEsol)

Data for a geometry-optimized AlZn2Cr structure.

Structure (CIF):
```
data_AlZn2Cr
_space_group_name_H-M_alt 'C m m m'
_space_group_IT_number 65
_space_group_name_Hall '-C 2 2'
_cell_length_a 5.1347
_cell_length_b 7.8205
_cell_length_c 2.6455
_cell_angle_alpha 90.00
_cell_angle_beta 90.00
_cell_angle_gamma 90.00
loop_
_atom_site_label
_atom_site_fract_x
_atom_site_fract_y
_atom_site_fract_z
_atom_site_occupancy
Al1 0.0000 0.0000 0.0000 1
Zn1 0.2500 0.2500 0.5000 1
Cr1 0.0000 0.5000 0.0000 1
```

Results
The value obtained for the total energy is -4.242 eV/atom. As for the formation energy from the elements: 0.13 eV/atom. The theoretical density comes out at 6559 kg/m3.

***

## AlZnCr4 (PBEsol)

Data for a geometry-optimized AlZnCr4 structure.

Structure (CIF):
```
data_AlZnCr4
_space_group_name_H-M_alt 'F -4 3 m'
_space_group_IT_number 216
_space_group_name_Hall 'F -4 2 3'
_cell_length_a 6.6851
_cell_length_b 6.6851
_cell_length_c 6.6851
_cell_angle_alpha 90.00
_cell_angle_beta 90.00
_cell_angle_gamma 90.00
loop_
_atom_site_label
_atom_site_fract_x
_atom_site_fract_y
_atom_site_fract_z
_atom_site_occupancy
Al1 0.0000 0.0000 0.0000 1
Zn1 0.2500 0.2500 0.7500 1
Cr1 0.1239 0.1239 0.3761 1
```

Results
The value obtained for the total energy is -7.515 eV/atom. As for the formation energy from the elements: 0.26 eV/atom. The theoretical density comes out at 6678 kg/m3.

***

## AlZn2Cr (PBEsol)

Data for a geometry-optimized AlZn2Cr structure.

Structure (CIF):
```
data_AlZn2Cr
_space_group_name_H-M_alt 'P 4/m m m'
_space_group_IT_number 123
_space_group_name_Hall '-P 4 2'
_cell_length_a 3.7236
_cell_length_b 3.7236
_cell_length_c 3.8368
_cell_angle_alpha 90.00
_cell_angle_beta 90.00
_cell_angle_gamma 90.00
loop_
_atom_site_label
_atom_site_fract_x
_atom_site_fract_y
_atom_site_fract_z
_atom_site_occupancy
Al1 0.0000 0.0000 0.0000 1
Zn1 0.0000 0.5000 0.5000 1
Cr1 0.5000 0.5000 0.0000 1
```

Results
The value obtained for the total energy is -4.372 eV/atom. As for the formation energy from the elements: 0.00 eV/atom. The theoretical density comes out at 6549 kg/m3.

***

## ZrAl2Cr (PBEsol)

Data for a geometry-optimized ZrAl2Cr structure.

Structure (CIF):
```
data_ZrAl2Cr
_space_group_name_H-M_alt 'P 4/m m m'
_space_group_IT_number 123
_space_group_name_Hall '-P 4 2'
_cell_length_a 3.0098
_cell_length_b 3.0098
_cell_length_c 7.0796
_cell_angle_alpha 90.00
_cell_angle_beta 90.00
_cell_angle_gamma 90.00
loop_
_atom_site_label
_atom_site_fract_x
_atom_site_fract_y
_atom_site_fract_z
_atom_site_occupancy
Zr1 0.0000 0.0000 0.0000 1
Al1 0.5000 0.5000 0.2899 1
Cr1 0.0000 0.0000 0.5000 1
```

Results
The value obtained for the total energy is -7.055 eV/atom. As for the formation energy from the elements: -0.18 eV/atom. The theoretical density comes out at 5106 kg/m3.

***

## ZrAl2Cr (PBEsol)

Data for a geometry-optimized ZrAl2Cr structure.

Structure (CIF):
```
data_ZrAl2Cr
_space_group_name_H-M_alt 'C m m m'
_space_group_IT_number 65
_space_group_name_Hall '-C 2 2'
_cell_length_a 5.5076
_cell_length_b 8.1969
_cell_length_c 2.9118
_cell_angle_alpha 90.00
_cell_angle_beta 90.00
_cell_angle_gamma 90.00
loop_
_atom_site_label
_atom_site_fract_x
_atom_site_fract_y
_atom_site_fract_z
_atom_site_occupancy
Zr1 0.0000 0.0000 0.0000 1
Al1 0.2500 0.2500 0.5000 1
Cr1 0.0000 0.5000 0.0000 1
```

Results
The value obtained for the total energy is -6.914 eV/atom. As for the formation energy from the elements: -0.03 eV/atom. The theoretical density comes out at 4982 kg/m3.

***

## ZrAlCr (PBEsol)

Data for a geometry-optimized ZrAlCr structure.

Structure (CIF):
```
data_ZrAlCr
_space_group_name_H-M_alt 'I 4 m m'
_space_group_IT_number 107
_space_group_name_Hall 'I 4 -2'
_cell_length_a 3.1086
_cell_length_b 3.1086
_cell_length_c 10.2991
_cell_angle_alpha 90.00
_cell_angle_beta 90.00
_cell_angle_gamma 90.00
loop_
_atom_site_label
_atom_site_fract_x
_atom_site_fract_y
_atom_site_fract_z
_atom_site_occupancy
Zr1 0.0000 0.0000 0.0000 1
Al1 0.0000 0.0000 0.6985 1
Cr1 0.0000 0.0000 0.3330 1
```

Results
The value obtained for the total energy is -7.835 eV/atom. As for the formation energy from the elements: -0.03 eV/atom. The theoretical density comes out at 5680 kg/m3.

***

## Zr2AlCr (PBEsol)

Data for a geometry-optimized Zr2AlCr structure.

Structure (CIF):
```
data_Zr2AlCr
_space_group_name_H-M_alt 'R 3 m'
_space_group_IT_number 160
_space_group_name_Hall 'R 3 -2"'
_cell_length_a 3.0458
_cell_length_b 3.0458
_cell_length_c 27.4411
_cell_angle_alpha 90.00
_cell_angle_beta 90.00
_cell_angle_gamma 120.00
loop_
_atom_site_label
_atom_site_fract_x
_atom_site_fract_y
_atom_site_fract_z
_atom_site_occupancy
Zr1 0.0000 0.0000 0.0000 1
Zr2 0.0000 0.0000 0.2383 1
Al1 0.0000 0.0000 0.4828 1
Cr1 0.0000 0.0000 0.7437 1
```

Results
The value obtained for the total energy is -7.889 eV/atom. As for the formation energy from the elements: 0.24 eV/atom. The theoretical density comes out at 5907 kg/m3.